(P)
# PBE-GGA Ta2CdB, relaxed
data_Ta2CdB
_symmetry_space_group_name_H-M 'F -4 3 m'
_symmetry_Int_Tables_number 216
_symmetry_space_group_name_Hall 'F -4 2 3'
_cell_length_a 6.412
_cell_length_b 6.412
_cell_length_c 6.412
_cell_angle_alpha 90.00
_cell_angle_beta 90.00
_cell_angle_gamma 90.00
loop_
_atom_site_label
_atom_site_fract_x
_atom_site_fract_y
_atom_site_fract_z
_atom_site_occupancy
Ta1 0.000 0.000 0.000 1
Ta2 0.250 0.250 0.250 1
Cd1 0.250 0.250 0.750 1
B1 0.000 0.000 0.500 1
# magnetization: 0.00 μB/cell

(Q)
# PBE-GGA Ta2CdB, relaxed
data_Ta2CdB
_symmetry_space_group_name_H-M 'P 63/m m c'
_symmetry_Int_Tables_number 194
_symmetry_space_group_name_Hall '-P 6c 2c'
_cell_length_a 3.2144
_cell_length_b 3.2144
_cell_length_c 14.7734
_cell_angle_alpha 90.00
_cell_angle_beta 90.00
_cell_angle_gamma 120.00
loop_
_atom_site_label
_atom_site_fract_x
_atom_site_fract_y
_atom_site_fract_z
_atom_site_occupancy
Ta1 0.3333 0.6667 0.0831 1
Cd1 0.3333 0.6667 0.7500 1
B1 0.0000 0.0000 0.0000 1
# magnetization: 0.02 μB/cell

The structure with the greatest stability is (Q).

(P)
# PBE-GGA CdTcB, relaxed
data_CdTcB
_symmetry_space_group_name_H-M 'I 4/m m m'
_symmetry_Int_Tables_number 139
_symmetry_space_group_name_Hall '-I 4 2'
_cell_length_a 3.008
_cell_length_b 3.008
_cell_length_c 21.168
_cell_angle_alpha 90.00
_cell_angle_beta 90.00
_cell_angle_gamma 90.00
loop_
_atom_site_label
_atom_site_fract_x
_atom_site_fract_y
_atom_site_fract_z
_atom_site_occupancy
Cd1 0.000 0.000 0.067 1
Tc1 0.000 0.000 0.203 1
B1 0.000 0.000 0.313 1
# magnetization: 0.00 μB/cell

(Q)
# PBE-GGA CdTcB, relaxed
data_CdTcB
_symmetry_space_group_name_H-M 'F -4 3 m'
_symmetry_Int_Tables_number 216
_symmetry_space_group_name_Hall 'F -4 2 3'
_cell_length_a 5.839
_cell_length_b 5.839
_cell_length_c 5.839
_cell_angle_alpha 90.00
_cell_angle_beta 90.00
_cell_angle_gamma 90.00
loop_
_atom_site_label
_atom_site_fract_x
_atom_site_fract_y
_atom_site_fract_z
_atom_site_occupancy
Cd1 0.000 0.000 0.000 1
Tc1 0.250 0.250 0.250 1
B1 0.000 0.000 0.500 1
# magnetization: 4.41 μB/cell

The structure with the greatest stability is (P).

(P)
# PBE-GGA ThCdB, relaxed
data_ThCdB
_symmetry_space_group_name_H-M 'F -4 3 m'
_symmetry_Int_Tables_number 216
_symmetry_space_group_name_Hall 'F -4 2 3'
_cell_length_a 6.356
_cell_length_b 6.356
_cell_length_c 6.356
_cell_angle_alpha 90.00
_cell_angle_beta 90.00
_cell_angle_gamma 90.00
loop_
_atom_site_label
_atom_site_fract_x
_atom_site_fract_y
_atom_site_fract_z
_atom_site_occupancy
Th1 0.000 0.000 0.000 1
Cd1 0.000 0.000 0.500 1
B1 0.250 0.250 0.750 1
# magnetization: 0.01 μB/cell

(Q)
# PBE-GGA ThCdB, relaxed
data_ThCdB
_symmetry_space_group_name_H-M 'F -4 3 m'
_symmetry_Int_Tables_number 216
_symmetry_space_group_name_Hall 'F -4 2 3'
_cell_length_a 6.762
_cell_length_b 6.762
_cell_length_c 6.762
_cell_angle_alpha 90.00
_cell_angle_beta 90.00
_cell_angle_gamma 90.00
loop_
_atom_site_label
_atom_site_fract_x
_atom_site_fract_y
_atom_site_fract_z
_atom_site_occupancy
Th1 0.000 0.000 0.000 1
Cd1 0.250 0.250 0.250 1
B1 0.250 0.250 0.750 1
# magnetization: 0.00 μB/cell

The structure with the greatest stability is (P).

(P)
# PBE-GGA ThCdB4, relaxed
data_ThCdB4
_symmetry_space_group_name_H-M 'I m m m'
_symmetry_Int_Tables_number 71
_symmetry_space_group_name_Hall '-I 2 2'
_cell_length_a 3.224
_cell_length_b 5.495
_cell_length_c 8.634
_cell_angle_alpha 90.00
_cell_angle_beta 90.00
_cell_angle_gamma 90.00
loop_
_atom_site_label
_atom_site_fract_x
_atom_site_fract_y
_atom_site_fract_z
_atom_site_occupancy
Th1 0.000 0.000 0.000 1
Cd1 0.000 0.000 0.500 1
B1 0.000 0.321 0.259 1
# magnetization: 0.00 μB/cell

(Q)
# PBE-GGA ThCdB4, relaxed
data_ThCdB4
_symmetry_space_group_name_H-M 'P 6/m m m'
_symmetry_Int_Tables_number 191
_symmetry_space_group_name_Hall '-P 6 2'
_cell_length_a 3.2333
_cell_length_b 3.2333
_cell_length_c 8.1007
_cell_angle_alpha 90.00
_cell_angle_beta 90.00
_cell_angle_gamma 120.00
loop_
_atom_site_label
_atom_site_fract_x
_atom_site_fract_y
_atom_site_fract_z
_atom_site_occupancy
Th1 0.0000 0.0000 0.0000 1
Cd1 0.0000 0.0000 0.5000 1
B1 0.3333 0.6667 0.2579 1
# magnetization: 0.00 μB/cell

The structure with the greatest stability is (P).